Computed, not measured: crystalline HoPuOs4 at its relaxed geometry at the PBE level of DFT.

The structure in POSCAR format:
```
HoPuOs4
1.0
0.0000 3.7800 3.7800
3.7800 0.0000 3.7800
3.7800 3.7800 0.0000
Ho Pu Os
1 1 4
direct
0.0000 0.0000 0.0000 Ho
0.7500 0.7500 0.7500 Pu
0.3750 0.3750 0.3750 Os
0.3750 0.3750 0.8749 Os
0.3750 0.8749 0.3750 Os
0.8749 0.3750 0.3750 Os
```

Properties
* DFT total energy: -65.0 eV/cell